Material: Sc3AgF
Method: DFT, PBE
State: relaxed

a = 5.2149 Å, b = 5.2149 Å, c = 5.2149 Å
α = 90.00°, β = 90.00°, γ = 90.00°
Atoms (fractional coordinates):
1 Sc 0.0000 0.5000 0.0000
2 Sc 0.0000 0.0000 0.5000
3 Sc 0.5000 0.0000 0.0000
4 F 0.5000 0.5000 0.5000
5 Ag 0.0000 0.0000 0.0000

## Properties
- Formation energy from raw total energies: 0.10 eV per atom
- Relative energy among the computed polymorphs: 97.7 kJ per mole of atoms
- DOS at the Fermi energy: 1.56 states/eV per atom
- M_tot: 0.000 μB per formula unit

---

Material: ScAg3F8
Method: DFT, PBE
State: relaxed

a = 5.4378 Å, b = 5.4378 Å, c = 5.4378 Å
α = 90.00°, β = 90.00°, γ = 90.00°
Each line ends with the local moment (μB).
Atoms (fractional coordinates):
1 F 0.7674 0.7674 0.7674  0.10
2 F 0.2326 0.2326 0.7674  0.10
3 Ag 0.5000 0.0000 0.5000  0.43
4 F 0.7674 0.2326 0.2326  0.10
5 Ag 0.5000 0.5000 0.0000  0.43
6 F 0.7674 0.7674 0.2326  0.10
7 Ag 0.0000 0.5000 0.5000  0.43
8 F 0.2326 0.7674 0.7674  0.10
9 F 0.2326 0.2326 0.2326  0.10
10 F 0.2326 0.7674 0.2326  0.10
11 F 0.7674 0.2326 0.7674  0.10
12 Sc 0.0000 0.0000 0.0000  -0.01

## Properties
- Formation energy from raw total energies: -1.96 eV per atom
- DOS at the Fermi energy: 1.03 states/eV per atom
- M_tot: 2.139 μB per formula unit

---

Material: ScAgF2
Method: DFT, PBE
State: relaxed

a = 5.5136 Å, b = 5.5136 Å, c = 6.8706 Å
α = 66.34°, β = 66.34°, γ = 90.00°
Atoms (fractional coordinates):
1 Ag 0.0000 0.0000 0.0000
2 Ag 0.7500 0.2500 0.5000
3 F 0.3759 0.1250 0.2500
4 Sc 0.2500 0.7500 0.5000
5 F 0.3741 0.6250 0.2500
6 Sc 0.5000 0.5000 0.0000
7 F 0.3750 0.6241 0.7500
8 F 0.8750 0.6259 0.7500

## Properties
- Formation energy from raw total energies: -2.09 eV per atom
- Relative energy among the computed polymorphs: 9.7 kJ per mole of atoms
- DOS at the Fermi energy: 0.19 states/eV per atom
- M_tot: 0.000 μB per formula unit

---

- Which of these has the lowest formation energy from raw total energies?
  ScAgF2